The following is a PBE with a Hubbard U calculation of a relaxed structure of SrNbVSnO6, from the Alexandria database.

Summary:
The space group is F-43m (216). The total magnetic moment is 2.000 μB/cell. The value obtained for the density of states at the Fermi level is 0.426 states/eV per atom. The calculation puts the calculated volume at 13.0 Å³ per atom. As for the total energy: -7.507 eV per atom.

Unit cell a=5.6851 b=5.6851 c=5.6851 alpha=60.00 beta=60.00 gamma=60.00
Closest atoms and distances in Å follow each position.
Atoms (fractional coordinates):
1 O 0.2502 0.2502 0.7498  1 V 2.01, 1 Nb 2.01
2 O 0.7498 0.2502 0.2502  1 V 2.01, 1 Nb 2.01
3 O 0.2502 0.7498 0.7498  1 V 2.01, 1 Nb 2.01
4 O 0.7498 0.2502 0.7498  1 V 2.01, 1 Nb 2.01
5 O 0.7498 0.7498 0.2502  1 V 2.01, 1 Nb 2.01
6 O 0.2502 0.7498 0.2502  1 V 2.01, 1 Nb 2.01
7 Sr 0.7500 0.7500 0.7500  12 O 2.84
8 Nb 0.0000 0.0000 0.0000  6 O 2.01
9 V 0.5000 0.5000 0.5000  6 O 2.01
10 Sn 0.2500 0.2500 0.2500  12 O 2.84